No. 1
{"formula": "Sm2UGeRh6", "functional": "PBE", "state": "relaxed", "spacegroup": "C2/m (12)", "ef_kj_per_mol_atoms": -44.4, "lattice_angstrom": [[-1.2621, -4.7093, 3.1758], [-0.1634, -4.4407, -6.6466], [3.7920, -4.4039, 0.3137]], "species": ["Sm", "Sm", "U", "Ge", "Rh", "Rh", "Rh", "Rh", "Rh", "Rh"], "fractional_positions": [[0.2148, 0.6464, 0.5705], [0.7852, 0.3536, 0.4295], [0.5000, 0.5000, 0.0000], [0.0000, 0.0000, 0.0000], [0.2482, 0.7507, 0.0025], [0.7491, 0.7511, 0.0020], [0.2502, 0.2473, 0.4998], [0.7518, 0.2493, 0.9975], [0.2509, 0.2489, 0.9980], [0.7498, 0.7527, 0.5002]]}

No. 2
{"formula": "Rb2DyTiO4", "functional": "PBE", "state": "relaxed", "spacegroup": "Fddd (70)", "e_form_raw_ev_per_fu": -18.0, "lattice_angstrom": [[-1.8165, 1.2745, 5.5150], [-2.2259, -5.7899, 3.8089], [9.9107, -0.9383, 6.6850]], "species": ["Rb", "Rb", "Rb", "Rb", "Dy", "Dy", "Ti", "Ti", "O", "O", "O", "O", "O", "O", "O", "O"], "fractional_positions": [[0.1828, 0.0000, 0.6345], [0.8172, 0.0000, 0.3655], [0.5672, 0.5000, 0.8655], [0.9328, 0.5000, 0.1345], [0.7500, 0.5000, 0.5000], [0.0000, 0.0000, 0.0000], [0.2500, 0.5000, 0.5000], [0.5000, 0.0000, 0.0000], [0.3303, 0.8421, 0.0746], [0.2470, 0.1579, 0.9254], [0.8276, 0.8421, 0.9254], [0.5950, 0.1579, 0.0746], [0.4197, 0.6579, 0.4254], [0.5030, 0.3421, 0.5746], [0.9224, 0.6579, 0.5746], [0.1550, 0.3421, 0.4254]]}

No. 3
{"formula": "Ge3Rh2S3", "functional": "PBE", "state": "relaxed", "spacegroup": "R-3 (148)", "e_form_raw_ev_per_fu": -4.4, "lattice_angstrom": [[8.3738, 0.0026, 0.0026], [0.0164, 8.3738, 0.0026], [0.0164, 0.0163, 8.3738]], "species": ["Ge", "Ge", "Ge", "Ge", "Ge", "Ge", "Ge", "Ge", "Ge", "Ge", "Ge", "Ge", "Rh", "Rh", "Rh", "Rh", "Rh", "Rh", "Rh", "Rh", "S", "S", "S", "S", "S", "S", "S", "S", "S", "S", "S", "S"], "fractional_positions": [[0.8555, 0.6586, 0.0017], [0.0017, 0.8555, 0.6586], [0.6586, 0.0017, 0.8555], [0.1445, 0.3414, 0.9983], [0.9983, 0.1445, 0.3414], [0.3414, 0.9983, 0.1445], [0.6452, 0.1577, 0.5027], [0.5027, 0.6452, 0.1577], [0.1577, 0.5027, 0.6452], [0.3548, 0.8423, 0.4973], [0.4973, 0.3548, 0.8423], [0.8423, 0.4973, 0.3548], [0.7477, 0.7477, 0.7477], [0.2523, 0.2523, 0.2523], [0.2459, 0.2475, 0.7460], [0.7460, 0.2459, 0.2475], [0.2475, 0.7460, 0.2459], [0.7541, 0.7525, 0.2540], [0.2540, 0.7541, 0.7525], [0.7525, 0.2540, 0.7541], [0.0007, 0.8582, 0.3546], [0.3546, 0.0007, 0.8582], [0.8582, 0.3546, 0.0007], [0.6408, 0.8544, 0.5033], [0.5033, 0.6408, 0.8544], [0.8544, 0.5033, 0.6408], [0.3592, 0.1456, 0.4967], [0.4967, 0.3592, 0.1456], [0.1456, 0.4967, 0.3592], [0.6454, 0.9993, 0.1418], [0.1418, 0.6454, 0.9993], [0.9993, 0.1418, 0.6454]]}

No. 4
{"formula": "Cs2CrBCl6", "functional": "PBE", "state": "relaxed", "spacegroup": "I4/mmm (139)", "e_form_raw_ev_per_fu": -9.6, "lattice_angstrom": [[7.1463, 0.0000, 0.0000], [0.0000, 7.1463, 0.0000], [3.5732, 3.5732, 5.1490]], "species": ["Cs", "Cs", "Cr", "B", "Cl", "Cl", "Cl", "Cl", "Cl", "Cl"], "fractional_positions": [[0.7500, 0.2500, 0.5000], [0.2500, 0.7500, 0.5000], [0.0000, 0.0000, 0.0000], [0.5000, 0.5000, 0.0000], [0.2324, 0.2324, 0.5352], [0.7676, 0.7676, 0.4648], [0.2383, 0.2383, 0.0000], [0.7617, 0.7617, 0.0000], [0.7617, 0.2383, 0.0000], [0.2383, 0.7617, 0.0000]]}

No. 5
{"formula": "Si2TeP", "functional": "PBE", "state": "relaxed", "spacegroup": "P4/mmm (123)", "e_form_raw_ev_per_fu": 1.6, "lattice_angstrom": [[3.8120, 0.0000, 0.0000], [0.0000, 3.8157, -0.0078], [0.0000, 0.0118, 5.4554]], "species": ["P", "Si", "Si", "Te"], "fractional_positions": [[0.0000, 0.0000, 0.5000], [0.0000, 0.0000, 0.0000], [0.5000, 0.5000, 0.0000], [0.5000, 0.5000, 0.5000]]}

No. 6
{"formula": "LiPtSN2", "functional": "PBE", "state": "relaxed", "spacegroup": "P4/mmm (123)", "e_form_raw_ev_per_fu": 4.1, "lattice_angstrom": [[-1.0565, 3.6310, 0.1972], [-3.3833, -1.0568, 1.3326], [1.9084, 0.2801, 5.0671]], "species": ["S", "Li", "Pt", "N", "N"], "fractional_positions": [[0.0000, 0.0000, 0.5000], [0.5000, 0.5000, 0.5000], [0.0000, 0.0000, 0.0000], [0.0000, 0.5000, 0.0000], [0.5000, 0.0000, 0.0000]]}

No. 7
{"formula": "POsAu4", "functional": "PBE", "state": "relaxed", "spacegroup": "F-43m (216)", "ef_kj_per_mol_atoms": 100.0, "lattice_angstrom": [[-0.6019, 0.3376, 5.3734], [1.9850, 4.2660, 2.6854], [-3.3704, 3.6720, 2.1228]], "species": ["P", "Os", "Au", "Au", "Au", "Au"], "fractional_positions": [[0.0000, 0.0000, 0.0000], [0.7500, 0.7500, 0.7500], [0.8749, 0.3750, 0.3750], [0.3750, 0.3750, 0.8749], [0.3750, 0.8749, 0.3750], [0.3750, 0.3750, 0.3750]]}

No. 8
{"formula": "La6Sb2Te3P", "functional": "PBE", "state": "relaxed", "spacegroup": "C2/m (12)", "e_form_raw_ev_per_fu": -18.3, "lattice_angstrom": [[4.5219, 0.0000, 0.0000], [0.0000, 9.1565, 0.2862], [-2.2609, -2.6777, 9.5877]], "species": ["La", "La", "La", "La", "La", "La", "Sb", "Sb", "Te", "Te", "Te", "P"], "fractional_positions": [[0.3460, 0.9193, 0.6921], [0.6672, 0.5796, 0.3344], [0.6540, 0.0807, 0.3079], [0.9999, 0.2219, 0.9999], [0.0001, 0.7781, 0.0001], [0.3328, 0.4204, 0.6656], [0.8340, 0.6671, 0.6680], [0.1660, 0.3329, 0.3320], [0.5000, 0.5000, 0.0000], [0.8297, 0.1641, 0.6594], [0.1703, 0.8359, 0.3406], [0.5000, 0.0000, 0.0000]]}

| no. | calculated total energy (eV per atom) |
| --- | --- |
| 1 | -7.4053 |
| 2 | -6.5346 |
| 3 | -5.6633 |
| 4 | -3.8697 |
| 5 | -4.4465 |
| 6 | -4.9209 |
| 7 | -3.9212 |
| 8 | -5.9140 |